Record 1
Computed, not measured: an optimized crystal structure of Mg4CoRh2 at the PBE level of DFT.

Structure (extended XYZ):
```
7
Lattice="-2.2575 2.2575 6.5373 2.2575 -2.2575 6.5373 2.2575 2.2575 -6.5373" Properties=species:S:1:pos:R:3 pbc="T T T"
Mg 2.2575 0.0000 0.0000
Mg 0.0000 0.0000 2.4890
Mg 0.0000 2.2575 0.0000
Mg 0.0000 0.0000 10.5856
Co 0.0000 0.0000 0.0000
Rh 0.0000 0.0000 5.0947
Rh 0.0000 0.0000 7.9799
```

* mass density: 4.51 g/cm³
* total energy: -3.71 eV per atom
* DFT formation energy: 2.2 eV/f.u.

Record 2
Computed, not measured: an optimized crystal structure of Mg2Sc at the PBE level of DFT.

Structure (extended XYZ):
```
3
Lattice="5.3214 0.0000 0.0000 0.0000 5.3214 0.0000 0.0000 0.0000 3.2341" Properties=species:S:1:pos:R:3 pbc="T T T"
Mg 0.0000 2.6607 0.0000
Mg 2.6607 0.0000 0.0000
Sc 0.0000 0.0000 1.6170
```

* mass density: 1.70 g/cm³
* total energy: -2.82 eV per atom
* DFT formation energy: 1.1 eV/f.u.

Record 3
Computed, not measured: an optimized crystal structure of NaZrTeI2 at the PBE level of DFT.

Structure (extended XYZ):
```
5
Lattice="5.8397 0.0000 0.0000 0.0000 5.8397 0.0000 0.0000 0.0000 5.6560" Properties=species:S:1:pos:R:3 pbc="T T T"
Na 0.0000 0.0000 0.0000
Zr 2.9199 2.9199 2.8280
Te 2.9199 2.9199 0.0000
I 0.0000 2.9199 2.8280
I 2.9199 0.0000 2.8280
```

* mass density: 4.27 g/cm³
* total energy: -3.88 eV per atom
* distance to the lowest polymorph of the same formula: 0.000 eV/atom

Magnetization values (in μB per formula unit) by entry order: 0.60; 0.00; 0.00.